Ac5Si4Sn2 after structural relaxation, computed with PBE.

Cell and atoms, written as POSCAR:
```
Ac5Si4Sn2
1.0
-7.706 -4.206 -0.654
-1.762 -6.035 0.329
-5.178 -0.954 7.890
Si Ac Sn
4 5 2
direct
0.844 0.247 0.065
0.260 0.361 0.120
0.740 0.639 0.880
0.156 0.753 0.935
0.278 0.197 0.802
0.000 0.500 0.500
0.722 0.803 0.198
0.723 0.197 0.802
0.277 0.803 0.198
0.317 0.777 0.590
0.683 0.223 0.410
```

M_tot	0.001	μB per cell
formation energy without anion corrections	-522	meV per atom
DOS at the Fermi energy	7.77	states/eV/cell